(1)
# TaSiSb2 PBE optimized geometry
data_TaSiSb2
_symmetry_space_group_name_H-M 'P 1'
_symmetry_Int_Tables_number 1
_cell_length_a 3.7673
_cell_length_b 4.4843
_cell_length_c 5.3299
_cell_angle_alpha 90.00
_cell_angle_beta 110.59
_cell_angle_gamma 90.00
loop_
_symmetry_equiv_pos_as_xyz
'x,y,z'
loop_
_atom_site_label
_atom_site_fract_x
_atom_site_fract_y
_atom_site_fract_z
_atom_site_occupancy
Ta1 0.0000 0.0000 0.0000 1
Si1 0.8677 0.5000 0.7322 1
Sb1 0.2904 0.0000 0.5795 1
Sb2 0.5940 0.5000 0.1872 1
# M_tot: 0.000 μB per atom
# uncorrected formation energy: 1.6 kcal/mol of atoms

(2)
# TaCuN PBE optimized geometry
data_TaCuN
_symmetry_space_group_name_H-M 'P 1'
_symmetry_Int_Tables_number 1
_cell_length_a 4.9188
_cell_length_b 4.9188
_cell_length_c 5.7914
_cell_angle_alpha 91.64
_cell_angle_beta 91.64
_cell_angle_gamma 35.56
loop_
_symmetry_equiv_pos_as_xyz
'x,y,z'
loop_
_atom_site_label
_atom_site_fract_x
_atom_site_fract_y
_atom_site_fract_z
_atom_site_occupancy
Ta1 0.0000 0.0000 0.0000 1
Ta2 0.0000 0.0000 0.5000 1
Cu1 0.2595 0.2595 0.8061 1
Cu2 0.7405 0.7405 0.1939 1
N1 0.4693 0.4693 0.7445 1
N2 0.5307 0.5307 0.2555 1
# M_tot: 0.000 μB per atom
# uncorrected formation energy: -6.2 kcal/mol of atoms

(3)
# TiBeBr2 PBE optimized geometry
data_TiBeBr2
_symmetry_space_group_name_H-M 'P 1'
_symmetry_Int_Tables_number 1
_cell_length_a 4.7660
_cell_length_b 4.7660
_cell_length_c 4.7660
_cell_angle_alpha 60.00
_cell_angle_beta 60.00
_cell_angle_gamma 60.00
loop_
_symmetry_equiv_pos_as_xyz
'x,y,z'
loop_
_atom_site_label
_atom_site_fract_x
_atom_site_fract_y
_atom_site_fract_z
_atom_site_occupancy
Ti1 0.0000 0.0000 0.0000 1
Be1 0.5000 0.5000 0.5000 1
Br1 0.2500 0.2500 0.2500 1
Br2 0.7500 0.7500 0.7500 1
# energy above the most stable polymorph in this dataset: 338 meV per atom
# M_tot: 0.478 μB per atom
# uncorrected formation energy: 7.2 kcal/mol of atoms

(4)
# Li3PmZn9 PBE optimized geometry
data_Li3PmZn9
_symmetry_space_group_name_H-M 'P 1'
_symmetry_Int_Tables_number 1
_cell_length_a 6.9390
_cell_length_b 6.9390
_cell_length_c 6.8821
_cell_angle_alpha 96.81
_cell_angle_beta 96.81
_cell_angle_gamma 138.80
loop_
_symmetry_equiv_pos_as_xyz
'x,y,z'
loop_
_atom_site_label
_atom_site_fract_x
_atom_site_fract_y
_atom_site_fract_z
_atom_site_occupancy
Li1 0.0000 0.0000 0.0000 1
Li2 0.0000 0.5000 0.5000 1
Li3 0.5000 0.0000 0.5000 1
Pm1 0.0000 0.0000 0.5000 1
Zn1 0.0153 0.6594 0.1468 1
Zn2 0.2817 0.5058 0.2805 1
Zn3 0.3406 0.9847 0.8532 1
Zn4 0.4942 0.7183 0.7195 1
Zn5 0.5000 0.5000 0.0000 1
Zn6 0.5058 0.2817 0.2805 1
Zn7 0.6594 0.0153 0.1468 1
Zn8 0.7183 0.4942 0.7195 1
Zn9 0.9847 0.3406 0.8532 1
# M_tot: 0.000 μB per atom
# energy of formation from the pure elements: -210 meV per atom

(5)
# TaCrN PBE optimized geometry
data_TaCrN
_symmetry_space_group_name_H-M 'P 1'
_symmetry_Int_Tables_number 1
_cell_length_a 4.8805
_cell_length_b 4.8805
_cell_length_c 2.9844
_cell_angle_alpha 90.00
_cell_angle_beta 90.00
_cell_angle_gamma 100.88
loop_
_symmetry_equiv_pos_as_xyz
'x,y,z'
loop_
_atom_site_label
_atom_site_fract_x
_atom_site_fract_y
_atom_site_fract_z
_atom_site_occupancy
Ta1 0.2068 0.7932 0.0000 1
Ta2 0.7932 0.2068 0.0000 1
Cr1 0.3223 0.3223 0.5000 1
Cr2 0.6777 0.6777 0.5000 1
N1 0.0000 0.5000 0.5000 1
N2 0.5000 0.0000 0.5000 1
# M_tot: 0.000 μB per atom
# uncorrected formation energy: -14.7 kcal/mol of atoms

(6)
# Ho2GaAs PBE optimized geometry
data_Ho2GaAs
_symmetry_space_group_name_H-M 'P 1'
_symmetry_Int_Tables_number 1
_cell_length_a 11.5409
_cell_length_b 11.5409
_cell_length_c 4.0745
_cell_angle_alpha 90.00
_cell_angle_beta 90.00
_cell_angle_gamma 159.07
loop_
_symmetry_equiv_pos_as_xyz
'x,y,z'
loop_
_atom_site_label
_atom_site_fract_x
_atom_site_fract_y
_atom_site_fract_z
_atom_site_occupancy
Ho1 0.0655 0.9345 0.7500 1
Ho2 0.3145 0.6855 0.7500 1
Ho3 0.6855 0.3145 0.2500 1
Ho4 0.9345 0.0655 0.2500 1
Ga1 0.4629 0.5371 0.7500 1
Ga2 0.5371 0.4629 0.2500 1
As1 0.1885 0.8115 0.7500 1
As2 0.8115 0.1885 0.2500 1
# energy above the most stable polymorph in this dataset: 0 meV per atom
# M_tot: 0.000 μB per atom
# energy of formation from the pure elements: -1066 meV per atom

(7)
# YGaSN2 PBE optimized geometry
data_YGaSN2
_symmetry_space_group_name_H-M 'P 1'
_symmetry_Int_Tables_number 1
_cell_length_a 4.6008
_cell_length_b 4.6008
_cell_length_c 5.4066
_cell_angle_alpha 90.00
_cell_angle_beta 90.00
_cell_angle_gamma 90.00
loop_
_symmetry_equiv_pos_as_xyz
'x,y,z'
loop_
_atom_site_label
_atom_site_fract_x
_atom_site_fract_y
_atom_site_fract_z
_atom_site_occupancy
Y1 0.0000 0.0000 0.0000 1
Ga1 0.5000 0.5000 0.5000 1
S1 0.0000 0.0000 0.5000 1
N1 0.0000 0.5000 0.0000 1
N2 0.5000 0.0000 0.0000 1
# energy above the most stable polymorph in this dataset: 589 meV per atom
# M_tot: 0.786 μB per atom
# uncorrected formation energy: 14.3 kcal/mol of atoms

| no. | volume (A^3/atom) |
| --- | --- |
| 1 | 21.07 |
| 2 | 13.57 |
| 3 | 19.14 |
| 4 | 15.81 |
| 5 | 11.63 |
| 6 | 24.24 |
| 7 | 22.89 |